{
  "formula": "Ta6V3Co3C2",
  "functional": "GGA-PBEsol",
  "state": "relaxed",
  "lattice_angstrom": [[8.042, 0.000, 0.000], [4.021, 6.979, -0.005], [4.021, 2.321, 6.582]],
  "species": ["Co", "Ta", "Co", "V", "Co", "Ta", "Ta", "C", "Ta", "Co", "Ta", "Ta", "V", "Ta", "V", "Co", "V", "C", "V", "Ta", "Co", "C", "Ta", "Ta", "Ta", "Ta", "V", "C"],
  "fractional_positions": [[0.203, 0.455, 0.455], [0.566, 0.434, 0.434], [0.114, 0.044, 0.044], [0.204, 0.457, 0.135], [0.799, 0.044, 0.044], [0.818, 0.682, 0.066], [0.566, 0.433, 0.817], [0.501, 0.749, 0.749], [0.430, 0.070, 0.070], [0.800, 0.046, 0.354], [0.434, 0.066, 0.682], [0.434, 0.682, 0.066], [0.992, 0.249, 0.249], [0.179, 0.821, 0.821], [0.509, 0.249, 0.249], [0.800, 0.354, 0.046], [0.204, 0.135, 0.457], [0.001, 0.749, 0.749], [0.995, 0.753, 0.257], [0.566, 0.817, 0.433], [0.886, 0.455, 0.455], [0.501, 0.250, 0.748], [0.184, 0.817, 0.433], [0.818, 0.066, 0.682], [0.816, 0.684, 0.684], [0.184, 0.433, 0.817], [0.995, 0.257, 0.753], [0.501, 0.748, 0.250]],
  "final_energy_ev_per_atom": -10.904,
  "dos_at_fermi_per_ev_fu": 13.50,
  "e_form_ev_per_fu": -5.951
}